# 1
VASP calculation (PBE-GGA) on an optimized crystal structure of HoVSi2.

total energy	-0.48029	Ry/atom
DOS(E_F)	0.725	states/eV/atom

a b c (Å): 4.105 4.105 5.479
angles (deg): 68.00 68.00 60.00
Fractional positions:
1 Si 0.720 0.720 0.841
2 Si 0.280 0.280 0.159
3 Ho 0.500 0.500 0.500
4 V 0.000 0.000 0.000

# 2
VASP calculation (PBE-GGA) on an optimized crystal structure of Ho2V3Si4.

total energy	-0.52467	Ry/atom
DOS(E_F)	0.642	states/eV/atom

a b c (Å): 6.687 6.809 6.805
angles (deg): 90.00 90.00 109.22
Fractional positions:
1 Ho 0.561 0.187 0.332
2 Ho 0.939 0.813 0.832
3 Ho 0.439 0.813 0.668
4 Ho 0.061 0.187 0.168
5 V 0.000 0.500 0.500
6 V 0.500 0.500 0.000
7 V 0.748 0.259 0.828
8 V 0.752 0.741 0.328
9 V 0.252 0.741 0.172
10 V 0.248 0.259 0.672
11 Si 0.872 0.091 0.545
12 Si 0.628 0.909 0.045
13 Si 0.128 0.909 0.455
14 Si 0.372 0.091 0.955
15 Si 0.870 0.500 0.129
16 Si 0.630 0.500 0.629
17 Si 0.130 0.500 0.871
18 Si 0.370 0.500 0.371

# 3
VASP calculation (PBE-GGA) on an optimized crystal structure of HoSiW.

total energy	-0.58536	Ry/atom
DOS(E_F)	0.834	states/eV/atom

a b c (Å): 7.047 5.576 5.920
angles (deg): 88.77 90.00 90.00
Fractional positions:
1 Si 0.532 0.118 0.673
2 Si 0.032 0.882 0.827
3 Si 0.468 0.882 0.327
4 Si 0.968 0.118 0.173
5 W 0.803 0.894 0.499
6 W 0.697 0.894 0.999
7 W 0.197 0.106 0.501
8 W 0.303 0.106 0.001
9 Ho 0.115 0.604 0.242
10 Ho 0.385 0.604 0.742
11 Ho 0.885 0.396 0.758
12 Ho 0.615 0.396 0.258

# 4
VASP calculation (PBE-GGA) on an optimized crystal structure of YHoSi3.

total energy	-0.45105	Ry/atom
DOS(E_F)	0.347	states/eV/atom

a b c (Å): 3.938 4.125 12.431
angles (deg): 99.55 90.00 90.00
Fractional positions:
1 Y 0.250 0.070 0.140
2 Y 0.750 0.930 0.860
3 Ho 0.250 0.797 0.594
4 Ho 0.750 0.203 0.406
5 Si 0.250 0.380 0.761
6 Si 0.750 0.620 0.239
7 Si 0.250 0.475 0.950
8 Si 0.750 0.525 0.050
9 Si 0.750 0.322 0.644
10 Si 0.250 0.678 0.356

# 5
VASP calculation (PBE-GGA) on an optimized crystal structure of YHoSi.

energy relative to the lowest polymorph listed for this composition	74	meV/atom
total energy	-0.43882	Ry/atom
DOS(E_F)	0.885	states/eV/atom

a b c (Å): 4.836 4.836 4.836
angles (deg): 60.00 60.00 60.00
Fractional positions:
1 Y 0.000 0.000 0.000
2 Si 0.250 0.250 0.250
3 Ho 0.500 0.500 0.500

# 6
VASP calculation (PBE-GGA) on an optimized crystal structure of YHoSi.

energy relative to the lowest polymorph listed for this composition	0	meV/atom
total energy	-0.44426	Ry/atom
DOS(E_F)	1.212	states/eV/atom

a b c (Å): 7.829 8.419 8.889
angles (deg): 118.27 116.13 90.00
Fractional positions:
1 Y 0.753 0.048 0.596
2 Y 0.158 0.952 0.404
3 Y 0.349 0.750 0.000
4 Y 0.349 0.250 0.000
5 Y 0.158 0.452 0.404
6 Y 0.753 0.548 0.596
7 Ho 0.016 0.000 0.000
8 Ho 0.016 0.500 0.000
9 Ho 0.490 0.369 0.737
10 Ho 0.753 0.631 0.263
11 Ho 0.753 0.131 0.263
12 Ho 0.490 0.869 0.737
13 Si 0.753 0.250 0.000
14 Si 0.753 0.750 0.000
15 Si 0.420 0.167 0.333
16 Si 0.087 0.833 0.667
17 Si 0.087 0.333 0.667
18 Si 0.420 0.667 0.333

# 7
VASP calculation (PBE-GGA) on an optimized crystal structure of YHo2Si.

total energy	-0.38542	Ry/atom
DOS(E_F)	1.000	states/eV/atom

a b c (Å): 3.558 3.558 10.909
angles (deg): 80.61 80.61 60.00
Fractional positions:
1 Y 0.000 0.000 0.000
2 Si 0.500 0.500 0.500
3 Ho 0.106 0.106 0.681
4 Ho 0.894 0.894 0.319

# 8
VASP calculation (PBE-GGA) on an optimized crystal structure of YHo2Si6.

total energy	-0.43140	Ry/atom
DOS(E_F)	0.598	states/eV/atom

a b c (Å): 3.929 7.088 7.088
angles (deg): 120.00 90.00 90.00
Fractional positions:
1 Y 0.000 0.000 0.000
2 Ho 0.000 0.333 0.667
3 Ho 0.000 0.667 0.333
4 Si 0.500 0.334 0.334
5 Si 0.500 0.666 0.666
6 Si 0.500 0.000 0.666
7 Si 0.500 0.666 0.000
8 Si 0.500 0.334 0.000
9 Si 0.500 0.000 0.334

# 9
VASP calculation (PBE-GGA) on an optimized crystal structure of Y2HoSi6.

total energy	-0.44730	Ry/atom
DOS(E_F)	0.580	states/eV/atom

a b c (Å): 3.944 7.095 7.095
angles (deg): 120.00 90.00 90.00
Fractional positions:
1 Y 0.000 0.333 0.667
2 Y 0.000 0.667 0.333
3 Ho 0.000 0.000 0.000
4 Si 0.500 0.333 0.333
5 Si 0.500 0.667 0.667
6 Si 0.500 0.000 0.667
7 Si 0.500 0.667 0.000
8 Si 0.500 0.333 0.000
9 Si 0.500 0.000 0.333

# 10
VASP calculation (PBE-GGA) on an optimized crystal structure of Y5HoSi4.

total energy	-0.47126	Ry/atom
DOS(E_F)	0.491	states/eV/atom

a b c (Å): 4.911 6.815 10.436
angles (deg): 130.67 103.61 90.00
Fractional positions:
1 Y 0.835 0.676 0.670
2 Y 0.835 0.165 0.670
3 Y 0.165 0.835 0.330
4 Y 0.500 0.500 0.000
5 Y 0.165 0.324 0.330
6 Ho 0.500 0.000 0.000
7 Si 0.322 0.895 0.645
8 Si 0.991 0.733 0.982
9 Si 0.678 0.105 0.355
10 Si 0.009 0.267 0.018

# 11
VASP calculation (PBE-GGA) on an optimized crystal structure of HoZnSi.

total energy	-0.32148	Ry/atom
DOS(E_F)	0.388	states/eV/atom

a b c (Å): 4.100 4.100 4.015
angles (deg): 90.00 90.00 120.00
Fractional positions:
1 Zn 0.667 0.333 0.500
2 Si 0.333 0.667 0.500
3 Ho 0.000 0.000 0.000

# 12
VASP calculation (PBE-GGA) on an optimized crystal structure of Ho2ZnSi.

total energy	-0.33249	Ry/atom
DOS(E_F)	1.079	states/eV/atom

a b c (Å): 4.026 5.751 8.388
angles (deg): 111.50 90.00 90.00
Fractional positions:
1 Ho 0.750 0.215 0.430
2 Ho 0.250 0.785 0.570
3 Ho 0.250 0.781 0.072
4 Ho 0.750 0.219 0.928
5 Zn 0.250 0.357 0.214
6 Zn 0.750 0.643 0.786
7 Si 0.750 0.649 0.288
8 Si 0.250 0.351 0.712